[1]
Compound: YTm4Al
Source: Alexandria via LeMat-Bulk
Functional: GGA-PBE
Structure: relaxed

Cell: 3.4900 3.4900 13.8422 Å, 90.00 90.00 90.00°
Closest atoms and distances in Å follow each position.
Positions (direct):
Y: 0.0000 0.0000 0.0000  4 Y 3.49, 8 Tm 3.52
Tm: 0.0000 0.0000 0.3634  4 Al 3.11
Tm: 0.0000 0.0000 0.6366  4 Al 3.11
Tm: 0.5000 0.5000 0.1817  8 Tm 3.49-3.52, 4 Y 3.52
Tm: 0.5000 0.5000 0.8183  8 Tm 3.49-3.52, 4 Y 3.52
Al: 0.5000 0.5000 0.5000  8 Tm 3.11

The calculation puts the volume at 168.6 Å³/cell. The calculation puts the formation energy at -0.12 eV per atom. Its space group is P4/mmm, No. 123. As for the excess energy over the best structure of this formula in the dataset: 0.000 eV per atom. The value obtained for the total energy is -4.80 eV/atom.

---

[2]
Compound: YTm6Al2
Source: Alexandria via LeMat-Bulk
Functional: GGA-PBE
Structure: relaxed

Cell: 6.4445 6.4445 11.6542 Å, 108.05 108.05 32.52°
Closest atoms and distances in Å follow each position.
Positions (direct):
Y: 0.0000 0.0000 0.0000  4 Al 3.11
Tm: 0.0200 0.0200 0.3323  2 Al 3.06, 3 Tm 3.42
Tm: 0.3121 0.3121 0.1250  2 Al 3.09, 5 Tm 3.35-3.42
Tm: 0.3118 0.3118 0.4142  2 Al 3.15, 8 Tm 3.37-3.52
Tm: 0.6882 0.6882 0.5858  2 Al 3.15, 8 Tm 3.37-3.52
Tm: 0.6879 0.6879 0.8750  2 Al 3.09, 5 Tm 3.35-3.42
Tm: 0.9800 0.9800 0.6677  2 Al 3.06, 3 Tm 3.42
Al: 0.3510 0.3510 0.7914  6 Tm 3.06-3.15, 2 Y 3.11
Al: 0.6490 0.6490 0.2086  6 Tm 3.06-3.15, 2 Y 3.11

The calculation puts the volume at 246.2 Å³/cell. The calculation puts the formation energy at -0.18 eV per atom. Its space group is C2/m, No. 12. The value obtained for the total energy is -4.71 eV/atom.

---

[3]
Compound: Y2Tm3Al3
Source: Alexandria via LeMat-Bulk
Functional: GGA-PBE
Structure: relaxed

Cell: 11.1324 11.1324 11.1324 Å, 161.10 153.53 32.73°
Closest atoms and distances in Å follow each position.
Positions (direct):
Y: 0.2299 0.2299 0.0000  2 Al 3.06, 4 Y 3.25
Y: 0.7701 0.7701 0.0000  2 Al 3.06, 4 Y 3.25
Tm: 0.0000 0.0000 0.0000  8 Al 3.06-3.14
Tm: 0.3806 0.8806 0.5000  6 Al 3.14, 2 Y 3.47
Tm: 0.6194 0.1194 0.5000  6 Al 3.14, 2 Y 3.47
Al: 0.1148 0.6148 0.5000  6 Tm 3.06-3.14, 2 Y 3.06
Al: 0.5000 0.5000 0.0000  8 Tm 3.14
Al: 0.8852 0.3852 0.5000  6 Tm 3.06-3.14, 2 Y 3.06

The calculation puts the volume at 199.0 Å³/cell. The calculation puts the formation energy at -0.29 eV per atom. Its space group is Immm, No. 71. As for the excess energy over the best structure of this formula in the dataset: 0.000 eV per atom. The value obtained for the total energy is -4.99 eV/atom.

---

[4]
Compound: Y2Tm3Al2
Source: Alexandria via LeMat-Bulk
Functional: GGA-PBE
Structure: relaxed

Cell: 15.9988 15.9988 3.4436 Å, 90.00 90.00 167.67°
Closest atoms and distances in Å follow each position.
Positions (direct):
Y: 0.2014 0.7986 0.0000  6 Y 3.44-3.54, 4 Tm 3.54
Y: 0.7986 0.2014 0.0000  6 Y 3.44-3.54, 4 Tm 3.54
Tm: 0.3795 0.6205 0.5000  4 Al 3.09, 4 Tm 3.44
Tm: 0.5000 0.5000 0.5000  8 Al 3.10, 4 Tm 3.44
Tm: 0.6205 0.3795 0.5000  4 Al 3.09, 4 Tm 3.44
Al: 0.0604 0.9396 0.0000  8 Tm 3.09-3.10, 4 Al 3.44
Al: 0.9396 0.0604 0.0000  8 Tm 3.09-3.10, 4 Al 3.44

The calculation puts the volume at 188.3 Å³/cell. The calculation puts the formation energy at -0.16 eV per atom. Its space group is Cmmm, No. 65. As for the excess energy over the best structure of this formula in the dataset: 0.056 eV per atom. The value obtained for the total energy is -5.00 eV/atom.

---

[5]
Compound: Y2TmAl
Source: Alexandria via LeMat-Bulk
Functional: GGA-PBE
Structure: relaxed

Cell: 6.6741 5.0911 6.7528 Å, 90.00 105.26 90.00°
Closest atoms and distances in Å follow each position.
Positions (direct):
Y: 0.1219 0.2500 0.2303  3 Al 3.07-3.20, 2 Tm 3.41
Y: 0.3085 0.7500 0.5786  3 Al 3.18-3.21, 2 Tm 3.37-3.48, 3 Y 3.45-3.47
Y: 0.6915 0.2500 0.4214  3 Al 3.18-3.21, 2 Tm 3.37-3.48, 3 Y 3.45-3.47
Y: 0.8781 0.7500 0.7697  3 Al 3.07-3.20, 2 Tm 3.41
Tm: 0.3971 0.7500 0.0938  1 Al 3.04, 2 Tm 3.30, 3 Y 3.37-3.41
Tm: 0.6029 0.2500 0.9062  1 Al 3.04, 2 Tm 3.30, 3 Y 3.37-3.41
Al: 0.1309 0.2500 0.7587  1 Tm 3.04, 6 Y 3.07-3.21
Al: 0.8691 0.7500 0.2413  1 Tm 3.04, 6 Y 3.07-3.21

The calculation puts the volume at 221.4 Å³/cell. The calculation puts the formation energy at -0.21 eV per atom. Its space group is P2_1/m, No. 11. As for the excess energy over the best structure of this formula in the dataset: 0.000 eV per atom. The value obtained for the total energy is -5.49 eV/atom.

---

[6]
Compound: Y8TmAl2
Source: Alexandria via LeMat-Bulk
Functional: GGA-PBE
Structure: relaxed

Cell: 8.6137 8.6137 8.2526 Å, 113.30 113.30 35.25°
Closest atoms and distances in Å follow each position.
Positions (direct):
Y: 0.0571 0.0571 0.2340  1 Al 3.14, 2 Y 3.39
Y: 0.1527 0.1527 0.7214  3 Al 3.17-3.20, 1 Y 3.48
Y: 0.3118 0.3118 0.5454  1 Al 3.03, 4 Y 3.20-3.39, 1 Tm 3.26
Y: 0.3890 0.3890 0.0288  3 Al 3.17-3.21, 1 Tm 3.54
Y: 0.6110 0.6110 0.9712  3 Al 3.17-3.21, 1 Tm 3.54
Y: 0.6882 0.6882 0.4546  1 Al 3.03, 4 Y 3.20-3.39, 1 Tm 3.26
Y: 0.8473 0.8473 0.2786  3 Al 3.17-3.20, 1 Y 3.48
Y: 0.9429 0.9429 0.7660  1 Al 3.14, 2 Y 3.39
Tm: 0.5000 0.5000 0.5000  8 Y 3.26-3.55
Al: 0.2242 0.2242 0.1416  8 Y 3.03-3.21
Al: 0.7758 0.7758 0.8584  8 Y 3.03-3.21

The calculation puts the volume at 321.5 Å³/cell. The calculation puts the formation energy at -0.12 eV per atom. Its space group is C2/m, No. 12. As for the excess energy over the best structure of this formula in the dataset: 0.000 eV per atom. The value obtained for the total energy is -5.91 eV/atom.

---

Question: Look up the volume of the fifth one.
Answer: 221.4 Å³/cell

---

Question: Which formula does entry 1 have?
Answer: YTm4Al

---

Question: Which of these has the lowest volume?
Answer: YTm4Al

---

Question: The lowest volume belongs to which entry?
Answer: YTm4Al